First-principles (GGA-PBE) data for a relaxed NiP3 crystal, as listed in Alexandria.

Results
The total energy comes out at -4.993 eV/atom. The volume is 13.52 A^3/atom. The distance to the lowest polymorph of the same formula comes out at 811 meV/atom. The density of states at the Fermi level comes out at 0.57 states/eV per atom. As for the formation energy from the elements: 0.509 eV/atom.

```
data_NiP3
_chemical_formula_sum 'Ni4 P12'
_space_group_name_H-M_alt 'P 63/m m c'
_space_group_IT_number 194
_space_group_name_Hall '-P 6c 2c'
_cell_length_a 5.3676
_cell_length_b 5.3676
_cell_length_c 8.6687
_cell_angle_alpha 90.00
_cell_angle_beta 90.00
_cell_angle_gamma 120.00
loop_
_atom_site_label
_atom_site_type_symbol
_atom_site_fract_x
_atom_site_fract_y
_atom_site_fract_z
_atom_site_occupancy
Ni1 Ni 0.0000 0.0000 0.0000 1
Ni2 Ni 0.3333 0.6667 0.2500 1
P1 P 0.0000 0.5000 0.0000 1
P2 P 0.1466 0.2932 0.7500 1
```